Cd2RuW | GGA-PBE | optimized geometry

```
4
Lattice="5.246 -0.013 0.034 4.381 2.886 0.034 1.045 0.312 4.560" Properties=species:S:1:pos:R:3 pbc="T T T"
Cd 1.092 0.326 4.538
Cd 5.288 1.579 2.337
Ru 8.004 2.389 3.471
W 2.668 0.796 1.157
```

Properties
V = 69.2 Å³ per cell
Energy = -5.47 eV per atom
Symmetry = C2/m
E_form = 0.54 eV/atom
Magnetization = 0.000 μB per cell
Polymorph energy (0 for the lowest one) = 368 meV per atom

---

CdRuW4 | GGA-PBE | optimized geometry

```
6
Lattice="-0.762 -5.213 0.284 -4.685 -1.903 1.507 -3.123 -2.405 -3.508" Properties=species:S:1:pos:R:3 pbc="T T T"
Cd -6.427 -7.141 -1.288
Ru 0.000 0.000 0.000
W -3.601 -6.164 -0.505
W -4.771 -4.773 -2.384
W -5.544 -4.524 0.101
W -3.224 -3.581 -0.646
```

Properties
V = 103.9 Å³ per cell
Energy = -9.74 eV per atom
Symmetry = F-43m
E_form = 0.59 eV/atom
Magnetization = 0.000 μB per cell

---

| no. | ρ (g/cm3) |
| --- | --- |
| 1 | 12.2 |
| 2 | 15.2 |